(P)
Zn2GaRh2: optimized geometry, GGA-PBE.

Geometry as POSCAR:
```
Zn2GaRh2
1.0
6.367 0.000 0.000
0.000 6.367 0.000
0.000 0.000 3.800
Zn Ga Rh
4 2 4
Cartesian
0.964 2.219 0.000
2.219 5.403 0.000
4.148 0.964 0.000
5.403 4.148 0.000
0.000 0.000 1.900
3.183 3.183 1.900
0.950 4.134 1.900
2.233 0.950 1.900
4.134 5.417 1.900
5.417 2.233 1.900
```

=====

(Q)
Zn2GaRh2: optimized geometry, GGA-PBE.

Geometry as POSCAR:
```
Zn2GaRh2
1.0
6.991 0.000 0.000
0.000 6.991 0.000
0.000 0.000 2.995
Zn Ga Rh
4 2 4
Cartesian
0.876 2.620 0.000
2.620 6.115 0.000
4.372 0.876 0.000
6.115 4.372 0.000
0.000 0.000 0.000
3.496 3.496 0.000
1.213 4.708 1.498
2.283 1.213 1.498
4.708 5.779 1.498
5.779 2.283 1.498
```

=====

(R)
Zn2GaRh2: optimized geometry, GGA-PBE.

Geometry as POSCAR:
```
Zn2GaRh2
1.0
3.634 -2.102 0.000
3.634 2.102 0.000
-0.034 0.000 5.193
Zn Ga Rh
2 1 2
Cartesian
1.210 0.000 1.882
6.023 0.000 3.312
3.634 0.000 0.000
1.177 0.000 4.422
6.056 0.000 0.771
```

=====

(S)
Zn2GaRh2: optimized geometry, GGA-PBE.

Geometry as POSCAR:
```
Zn2GaRh2
1.0
-1.893 1.893 5.842
1.893 -1.893 5.842
1.893 1.893 -5.842
Zn Ga Rh
2 1 2
Cartesian
0.000 0.000 1.206
0.000 0.000 10.479
0.000 0.000 5.842
1.893 0.000 2.921
0.000 1.893 2.921
```

=====

If we sort the structures by their calculated energies, the order from most to least stable is (P), (R), (Q), (S).

=====

(P)
ZrZnGa2Rh: optimized geometry, GGA-PBE.

Geometry as POSCAR:
```
ZrZnGa2Rh
1.0
4.634 0.000 0.000
0.000 4.634 0.000
0.000 0.000 4.655
Zr Zn Ga Rh
1 1 2 1
Cartesian
0.000 0.000 0.000
2.317 2.317 0.000
0.000 2.317 2.328
2.317 0.000 2.328
2.317 2.317 2.328
```

=====

(Q)
ZrZnGa2Rh: optimized geometry, GGA-PBE.

Geometry as POSCAR:
```
ZrZnGa2Rh
1.0
4.444 0.000 0.000
0.000 4.444 0.000
0.000 0.000 5.067
Zr Zn Ga Rh
1 1 2 1
Cartesian
0.000 0.000 0.000
0.000 0.000 2.533
0.000 2.222 2.533
2.222 0.000 2.533
2.222 2.222 0.000
```

=====

If we sort the structures by their calculated energies, the order from most to least stable is (P), (Q).

=====

(P)
Zr2Ga3Rh: optimized geometry, GGA-PBE.

Geometry as POSCAR:
```
Zr2Ga3Rh
1.0
-1.543 2.727 6.734
1.543 -2.727 6.734
1.543 2.727 -6.734
Zr Ga Rh
2 3 1
Cartesian
0.000 0.000 2.389
0.000 0.000 11.079
1.543 0.000 0.000
1.543 0.000 4.739
0.000 2.727 1.995
0.000 0.000 6.734
```

=====

(Q)
Zr2Ga3Rh: optimized geometry, GGA-PBE.

Geometry as POSCAR:
```
Zr2Ga3Rh
1.0
4.965 -2.157 0.000
4.965 2.157 0.000
-4.229 0.000 4.937
Zr Ga Rh
2 3 1
Cartesian
0.000 0.000 0.000
-1.707 0.000 2.842
2.926 0.000 0.869
2.788 0.000 4.761
5.223 0.000 2.044
1.203 0.000 2.845
```

=====

If we sort the structures by their calculated energies, the order from most to least stable is (Q), (P).

=====

(P)
Ga3Ru: optimized geometry, GGA-PBE.

Geometry as POSCAR:
```
Ga3Ru
1.0
-1.597 3.616 2.886
1.597 -3.616 2.886
1.597 3.616 -2.886
Ga Ru
3 1
Cartesian
0.000 0.000 0.000
1.597 2.244 -0.572
0.000 1.372 2.314
0.000 3.616 0.944
```

=====

(Q)
Ga3Ru: optimized geometry, GGA-PBE.

Geometry as POSCAR:
```
Ga3Ru
1.0
6.532 0.000 0.000
0.000 6.532 0.000
0.000 0.000 6.775
Ga Ru
12 4
Cartesian
0.000 3.266 0.000
0.000 3.266 3.388
1.014 1.014 1.592
1.014 1.014 5.183
2.252 4.280 1.795
2.252 4.280 4.980
3.266 0.000 0.000
3.266 0.000 3.388
4.280 2.252 1.795
4.280 2.252 4.980
5.519 5.519 1.592
5.519 5.519 5.183
1.039 5.493 0.000
2.227 2.227 3.388
4.305 4.305 3.388
5.493 1.039 0.000
```

=====

If we sort the structures by their calculated energies, the order from most to least stable is (Q), (P).

=====

(P)
GaRuS2: optimized geometry, GGA-PBE.

Geometry as POSCAR:
```
GaRuS2
1.0
-2.689 2.689 5.404
2.689 -2.689 5.404
2.689 2.689 -5.404
Ga Ru S
2 2 4
Cartesian
0.000 0.000 0.000
0.000 2.689 2.702
2.689 0.000 2.702
0.000 0.000 5.404
1.345 -1.246 4.053
1.443 1.345 1.351
1.345 3.935 -1.351
1.246 1.345 6.755
```

=====

(Q)
GaRuS2: optimized geometry, GGA-PBE.

Geometry as POSCAR:
```
GaRuS2
1.0
0.000 3.096 3.096
3.096 0.000 3.096
3.096 3.096 0.000
Ga Ru S
1 1 2
Cartesian
0.000 0.000 0.000
3.096 3.096 3.096
1.548 1.548 1.548
4.644 4.644 4.644
```

=====

If we sort the structures by their calculated energies, the order from most to least stable is (P), (Q).

=====

(P)
GaRuS3: optimized geometry, GGA-PBE.

Geometry as POSCAR:
```
GaRuS3
1.0
4.660 0.000 0.000
0.000 4.660 0.000
0.000 0.000 4.660
Ga Ru S
1 1 3
Cartesian
0.000 0.000 0.000
2.330 2.330 2.330
0.000 2.330 2.330
2.330 0.000 2.330
2.330 2.330 0.000
```

=====

(Q)
GaRuS3: optimized geometry, GGA-PBE.

Geometry as POSCAR:
```
GaRuS3
1.0
4.556 0.000 0.000
0.000 4.556 0.000
0.000 0.000 4.556
Ga Ru S
1 1 3
Cartesian
0.000 0.000 0.000
2.278 2.278 2.278
0.000 0.000 2.278
0.000 2.278 0.000
2.278 0.000 0.000
```

=====

If we sort the structures by their calculated energies, the order from most to least stable is (P), (Q).

=====

(P)
Ga3RuS: optimized geometry, GGA-PBE.

Geometry as POSCAR:
```
Ga3RuS
1.0
4.785 0.000 0.000
0.000 4.785 0.000
0.000 0.000 4.785
Ga Ru S
3 1 1
Cartesian
0.000 0.000 2.392
0.000 2.392 0.000
2.392 0.000 0.000
0.000 0.000 0.000
2.392 2.392 2.392
```

=====

(Q)
Ga3RuS: optimized geometry, GGA-PBE.

Geometry as POSCAR:
```
Ga3RuS
1.0
4.720 0.000 0.000
0.000 4.720 0.000
0.000 0.000 4.720
Ga Ru S
3 1 1
Cartesian
0.000 0.000 2.360
0.000 2.360 0.000
2.360 0.000 0.000
2.360 2.360 2.360
0.000 0.000 0.000
```

=====

If we sort the structures by their calculated energies, the order from most to least stable is (P), (Q).

=====

(P)
Ga2RuS: optimized geometry, GGA-PBE.

Geometry as POSCAR:
```
Ga2RuS
1.0
0.000 3.127 3.127
3.127 0.000 3.127
3.127 3.127 0.000
Ga Ru S
2 1 1
Cartesian
1.564 1.564 1.564
4.691 4.691 4.691
0.000 0.000 0.000
3.127 3.127 3.127
```

=====

(Q)
Ga2RuS: optimized geometry, GGA-PBE.

Geometry as POSCAR:
```
Ga2RuS
1.0
-2.871 2.871 5.407
2.871 -2.871 5.407
2.871 2.871 -5.407
Ga Ru S
4 2 2
Cartesian
4.306 1.396 -1.352
1.396 1.435 1.352
-1.435 1.475 4.055
1.475 1.435 6.758
0.000 0.000 0.000
0.000 2.871 2.703
2.871 0.000 2.703
0.000 0.000 5.407
```

=====

If we sort the structures by their calculated energies, the order from most to least stable is (Q), (P).